{
  "formula": "Mg2CrCu",
  "functional": "GGA-PBE",
  "state": "optimized geometry",
  "dos_ef_per_ev_fu": 2.6,
  "polymorph_energy_ev_per_atom": 0.100,
  "lattice": [[2.730, 0.000, 0.000], [0.000, 2.730, 0.000], [0.000, 0.000, 8.179]],
  "species": ["Cr", "Cu", "Mg", "Mg"],
  "fractional_positions": [[0.500, 0.500, 0.250], [0.500, 0.500, 0.750], [0.000, 0.000, 0.994], [0.000, 0.000, 0.506]]
}